[1]
8
Lattice="4.096 0.000 0.000 0.000 4.303 0.000 0.000 0.000 4.990" Properties=species:S:1:pos:R:3 comment="GGA-PBEsol Cu3Ni, optimized geometry" ef_ev_per_atom=0.021 e_tot_ev_per_cell=-38.15 vol_a3_per_cell=87.9 space_group="Pmmn, No. 59" pbc="T T T"
Cu 2.048 1.438 0.000
Cu 0.000 2.865 2.495
Cu 0.000 0.723 3.739
Ni 2.048 1.430 2.495
Cu 0.000 0.723 1.251
Cu 2.048 3.580 1.244
Ni 0.000 2.873 0.000
Cu 2.048 3.580 3.746

[2]
8
Lattice="-3.438 0.496 2.379 2.409 -1.156 3.722 1.216 4.899 0.735" Properties=species:S:1:pos:R:3 comment="GGA-PBEsol ZnCu, optimized geometry" ef_ev_per_atom=-0.098 e_tot_ev_per_cell=-24.45 vol_a3_per_cell=98.4 space_group="Pnma, No. 62" pbc="T T T"
Zn 1.337 2.491 3.275
Cu -0.526 4.179 3.956
Zn -0.252 -0.064 5.237
Cu 0.377 2.386 5.635
Cu -0.191 1.853 1.200
Cu 0.712 0.061 2.879
Zn -1.150 1.748 3.561
Zn 0.439 4.303 1.599